Rb4Tb3NdTe8 | PBE | optimized geometry

Its volume is 619.3 Å³ per cell. The space-group type is R-3m, No. 166. The total magnetization is 0.000 μB per formula unit. As for the uncorrected formation energy: -1.394 eV per atom.

a = 9.139 Å, b = 10.059 Å, c = 9.139 Å
α = 117.04°, β = 120.00°, γ = 90.00°
Positions (direct):
Te  0.728  0.702  0.965
Te  0.763  0.298  0.526
Te  0.237  0.702  0.474
Te  0.237  0.702  0.965
Te  0.733  0.699  0.466
Te  0.267  0.301  0.534
Te  0.763  0.298  0.035
Te  0.272  0.298  0.035
Rb  0.000  0.000  0.500
Rb  0.500  0.000  0.500
Rb  0.500  0.000  0.000
Rb  0.000  0.000  0.000
Tb  0.500  0.500  0.000
Tb  0.000  0.500  0.500
Tb  0.500  0.500  0.500
Nd  0.000  0.500  0.000

RbTb3Nd2Te6 | PBE | optimized geometry

Its volume is 391.9 Å³ per cell. The space-group type is C2/m, No. 12. The total magnetization is 0.000 μB per formula unit. As for the uncorrected formation energy: -1.336 eV per atom.

a = 4.421 Å, b = 9.249 Å, c = 10.158 Å
α = 104.48°, β = 102.57°, γ = 90.00°
Positions (direct):
Te  0.999  0.727  0.998
Te  0.324  0.918  0.648
Te  0.662  0.591  0.324
Te  0.001  0.273  0.002
Te  0.338  0.409  0.676
Te  0.676  0.082  0.352
Tb  0.500  0.500  0.000
Tb  0.163  0.823  0.326
Tb  0.837  0.177  0.674
Rb  0.500  0.000  0.000
Nd  0.827  0.650  0.654
Nd  0.173  0.350  0.346

RbNdTe4 | PBE | optimized geometry

Its volume is 452.5 Å³ per cell. The space-group type is P4/nbm, No. 125. The total magnetization is 0.000 μB per formula unit. As for the uncorrected formation energy: -0.960 eV per atom.

a = 6.966 Å, b = 6.966 Å, c = 9.326 Å
α = 90.00°, β = 90.00°, γ = 90.00°
Positions (direct):
Te  0.356  0.144  0.705
Te  0.356  0.856  0.295
Te  0.856  0.356  0.705
Te  0.644  0.856  0.705
Te  0.144  0.356  0.295
Te  0.856  0.644  0.295
Te  0.644  0.144  0.295
Te  0.144  0.644  0.705
Rb  0.500  0.500  0.000
Rb  0.000  0.000  0.000
Nd  0.500  0.500  0.500
Nd  0.000  0.000  0.500

RbNd3Te4 | PBE | optimized geometry

Its volume is 574.3 Å³ per cell. The space-group type is P6_3/mmc, No. 194. The total magnetization is 0.000 μB per formula unit. As for the uncorrected formation energy: -1.414 eV per atom.

a = 4.568 Å, b = 4.568 Å, c = 31.790 Å
α = 90.00°, β = 90.00°, γ = 120.00°
Positions (direct):
Te  0.667  0.333  0.557
Te  0.667  0.333  0.943
Te  0.333  0.667  0.443
Te  0.333  0.667  0.057
Te  0.000  0.000  0.670
Te  0.000  0.000  0.330
Te  0.000  0.000  0.170
Te  0.000  0.000  0.830
Rb  0.667  0.333  0.750
Rb  0.333  0.667  0.250
Nd  0.667  0.333  0.386
Nd  0.333  0.667  0.886
Nd  0.000  0.000  0.000
Nd  0.333  0.667  0.614
Nd  0.000  0.000  0.500
Nd  0.667  0.333  0.114

RbNdTe2 | PBE | optimized geometry

Its volume is 160.8 Å³ per cell. The space-group type is R-3m, No. 166. The total magnetization is 0.000 μB per formula unit. As for the uncorrected formation energy: -1.408 eV per atom.

a = 8.985 Å, b = 8.985 Å, c = 8.985 Å
α = 30.01°, β = 30.01°, γ = 30.02°
Positions (direct):
Te  0.265  0.265  0.265
Te  0.735  0.735  0.735
Nd  0.000  0.000  0.000
Rb  0.500  0.500  0.500

RbNdTe2 | PBE | optimized geometry

Its volume is 161.7 Å³ per cell. The space-group type is R3m, No. 160. The total magnetization is 0.000 μB per formula unit. As for the uncorrected formation energy: -1.393 eV per atom.

a = 4.628 Å, b = 4.628 Å, c = 9.116 Å
α = 75.29°, β = 75.29°, γ = 60.00°
Positions (direct):
Rb  0.498  0.498  0.505
Te  0.068  0.068  0.795
Te  0.266  0.266  0.202
Nd  0.667  0.667  0.998

RbNdTe3 | PBE | optimized geometry

Its volume is 831.8 Å³ per cell. The space-group type is Pbcm, No. 57. The total magnetization is 0.000 μB per formula unit. As for the uncorrected formation energy: -0.916 eV per atom.

a = 7.924 Å, b = 6.070 Å, c = 17.294 Å
α = 90.00°, β = 90.00°, γ = 90.00°
Positions (direct):
Te  0.500  0.750  0.514
Te  0.750  0.943  0.788
Te  0.250  0.643  0.055
Te  0.750  0.443  0.212
Te  0.000  0.750  0.514
Te  0.250  0.057  0.212
Te  0.500  0.250  0.486
Te  0.250  0.143  0.945
Te  0.750  0.357  0.945
Te  0.000  0.250  0.486
Te  0.750  0.857  0.055
Te  0.250  0.557  0.788
Nd  0.000  0.250  0.093
Nd  0.500  0.750  0.907
Nd  0.000  0.750  0.907
Nd  0.500  0.250  0.093
Rb  0.750  0.950  0.333
Rb  0.750  0.450  0.667
Rb  0.250  0.550  0.333
Rb  0.250  0.050  0.667

RbNd6Te8 | PBE | optimized geometry

Its volume is 582.1 Å³ per cell. The space-group type is P-3, No. 147. The total magnetization is 1.435 μB per formula unit. As for the uncorrected formation energy: -1.376 eV per atom.

a = 4.581 Å, b = 12.113 Å, c = 12.113 Å
α = 120.00°, β = 90.00°, γ = 90.00°
Each line ends with the local moment (μB).
Positions (direct):
Te  0.750  0.046  0.694  -0.01
Te  0.750  0.648  0.954  -0.01
Te  0.750  0.306  0.352  -0.01
Te  0.750  0.667  0.333  0.00
Te  0.250  0.333  0.667  0.00
Te  0.250  0.352  0.046  -0.01
Te  0.250  0.954  0.306  -0.01
Te  0.250  0.694  0.648  -0.01
Nd  0.250  0.651  0.136  0.11
Nd  0.250  0.864  0.515  0.11
Nd  0.750  0.515  0.651  0.11
Nd  0.750  0.349  0.864  0.11
Nd  0.750  0.136  0.485  0.11
Nd  0.250  0.485  0.349  0.11
Rb  0.500  0.000  0.000  0.00

RbNdTe2 | PBE | optimized geometry

Its volume is 141.4 Å³ per cell. The space-group type is P4/mmm, No. 123. The total magnetization is 0.000 μB per formula unit. As for the uncorrected formation energy: -1.227 eV per atom.

a = 4.004 Å, b = 4.004 Å, c = 8.822 Å
α = 90.00°, β = 90.00°, γ = 90.00°
Positions (direct):
Nd  0.500  0.500  0.000
Te  0.000  0.000  0.792
Te  0.000  0.000  0.208
Rb  0.500  0.500  0.500

RbNd4Te6 | PBE | optimized geometry

Its volume is 822.6 Å³ per cell. The space-group type is Cmcm, No. 63. The total magnetization is 0.000 μB per formula unit. As for the uncorrected formation energy: -1.389 eV per atom.

a = 4.561 Å, b = 7.869 Å, c = 23.947 Å
α = 90.00°, β = 90.00°, γ = 106.85°
Positions (direct):
Rb  0.338  0.677  0.750
Rb  0.662  0.323  0.250
Te  0.771  0.542  0.082
Te  0.042  0.085  0.345
Te  0.771  0.542  0.418
Te  0.958  0.915  0.655
Te  0.500  0.000  0.000
Te  0.229  0.458  0.582
Te  0.229  0.458  0.918
Te  0.958  0.915  0.845
Te  0.500  0.000  0.500
Te  0.653  0.305  0.750
Te  0.042  0.085  0.155
Te  0.347  0.695  0.250
Nd  0.594  0.187  0.870
Nd  0.406  0.813  0.130
Nd  0.594  0.187  0.630
Nd  0.134  0.268  0.040
Nd  0.866  0.732  0.960
Nd  0.406  0.813  0.370
Nd  0.866  0.732  0.540
Nd  0.134  0.268  0.460

RbNd2Te3 | PBE | optimized geometry

Its volume is 222.8 Å³ per cell. The space-group type is P-3m1, No. 164. The total magnetization is 0.000 μB per formula unit. As for the uncorrected formation energy: -1.415 eV per atom.

a = 4.566 Å, b = 4.566 Å, c = 12.337 Å
α = 90.00°, β = 90.00°, γ = 120.00°
Positions (direct):
Nd  0.333  0.667  0.650
Nd  0.667  0.333  0.350
Te  0.667  0.333  0.794
Te  0.333  0.667  0.206
Te  0.000  0.000  0.500
Rb  0.000  0.000  0.000

RbNd2Te4 | PBE | optimized geometry

Its volume is 283.6 Å³ per cell. The space-group type is R-3m, No. 166. The total magnetization is 0.000 μB per formula unit. As for the uncorrected formation energy: -1.178 eV per atom.

a = 4.584 Å, b = 4.584 Å, c = 15.805 Å
α = 81.66°, β = 81.66°, γ = 60.00°
Positions (direct):
Te  0.111  0.111  0.668
Te  0.889  0.889  0.332
Te  0.701  0.701  0.896
Te  0.299  0.299  0.104
Rb  0.500  0.500  0.500
Nd  0.404  0.404  0.787
Nd  0.596  0.596  0.213

Rb2NdTe6 | PBE | optimized geometry

Its volume is 387.8 Å³ per cell. The space-group type is C2/m, No. 12. The total magnetization is 0.000 μB per formula unit. As for the uncorrected formation energy: -0.690 eV per atom.

a = 6.295 Å, b = 10.915 Å, c = 10.915 Å
α = 32.15°, β = 103.09°, γ = 103.09°
Positions (direct):
Te  0.500  0.761  0.239
Te  0.162  0.375  0.905
Te  0.162  0.905  0.375
Te  0.838  0.095  0.625
Te  0.838  0.625  0.095
Te  0.500  0.239  0.761
Rb  0.305  0.317  0.317
Rb  0.695  0.683  0.683
Nd  0.000  0.000  0.000

Rb3Nd3ThTe8 | PBE | optimized geometry

Its volume is 640.1 Å³ per cell. The space-group type is C2/m, No. 12. The total magnetization is 0.000 μB per formula unit. As for the uncorrected formation energy: -1.372 eV per atom.

a = 9.204 Å, b = 9.204 Å, c = 10.219 Å
α = 116.79°, β = 90.00°, γ = 120.00°
Positions (direct):
Te  0.232  0.464  0.702
Te  0.263  0.030  0.298
Te  0.768  0.536  0.298
Te  0.265  0.530  0.296
Te  0.735  0.470  0.704
Te  0.232  0.970  0.702
Te  0.768  0.030  0.298
Te  0.737  0.970  0.702
Rb  0.500  0.500  0.000
Rb  0.000  0.000  0.000
Rb  0.000  0.500  0.000
Nd  0.000  0.500  0.500
Nd  0.500  0.000  0.500
Nd  0.500  0.500  0.500
Th  0.000  0.000  0.500

Rb2NdThTe4 | PBE | optimized geometry

Its volume is 314.7 Å³ per cell. The space-group type is P2/m, No. 10. The total magnetization is 0.000 μB per formula unit. As for the uncorrected formation energy: -1.285 eV per atom.

a = 4.573 Å, b = 7.928 Å, c = 9.071 Å
α = 106.87°, β = 90.00°, γ = 90.00°
Positions (direct):
Te  0.000  0.740  0.208
Te  0.000  0.260  0.792
Te  0.500  0.233  0.208
Te  0.500  0.767  0.792
Th  0.000  0.000  0.000
Nd  0.500  0.500  0.000
Rb  0.000  0.500  0.500
Rb  0.500  0.000  0.500

Rb2NdTh2Te6 | PBE | optimized geometry

Its volume is 470.0 Å³ per cell. The space-group type is C2/m, No. 12. The total magnetization is 0.000 μB per formula unit. As for the uncorrected formation energy: -1.275 eV per atom.

a = 7.826 Å, b = 7.826 Å, c = 9.240 Å
α = 98.02°, β = 98.02°, γ = 120.12°
Positions (direct):
Rb  0.165  0.835  0.000
Rb  0.835  0.165  0.000
Th  0.667  0.333  0.500
Th  0.333  0.667  0.500
Te  0.273  0.273  0.295
Te  0.594  0.931  0.295
Te  0.727  0.727  0.705
Te  0.069  0.406  0.705
Te  0.931  0.594  0.295
Te  0.406  0.069  0.705
Nd  0.000  0.000  0.500

Rb4NdTh3Te8 | PBE | optimized geometry

Its volume is 623.5 Å³ per cell. The space-group type is R-3m, No. 166. The total magnetization is 0.000 μB per formula unit. As for the uncorrected formation energy: -1.222 eV per atom.

a = 9.067 Å, b = 10.203 Å, c = 9.067 Å
α = 116.39°, β = 120.00°, γ = 90.00°
Positions (direct):
Te  0.734  0.710  0.972
Te  0.762  0.290  0.524
Te  0.238  0.710  0.972
Te  0.266  0.290  0.028
Te  0.762  0.290  0.028
Te  0.263  0.290  0.526
Te  0.737  0.710  0.474
Te  0.238  0.710  0.476
Rb  0.000  0.000  0.000
Rb  0.500  0.000  0.500
Rb  0.500  0.000  0.000
Rb  0.000  0.000  0.500
Nd  0.000  0.500  0.000
Th  0.500  0.500  0.000
Th  0.500  0.500  0.500
Th  0.000  0.500  0.500

Rb3NdTh2Te6 | PBE | optimized geometry

Its volume is 469.2 Å³ per cell. The space-group type is C2/m, No. 12. The total magnetization is 0.000 μB per formula unit. As for the uncorrected formation energy: -1.244 eV per atom.

a = 7.876 Å, b = 7.876 Å, c = 9.119 Å
α = 98.28°, β = 98.28°, γ = 120.00°
Positions (direct):
Te  0.930  0.593  0.791
Te  0.407  0.070  0.209
Te  0.593  0.930  0.791
Te  0.732  0.732  0.209
Te  0.268  0.268  0.791
Te  0.070  0.407  0.209
Rb  0.500  0.500  0.500
Rb  0.165  0.835  0.500
Rb  0.835  0.165  0.500
Th  0.333  0.667  0.000
Th  0.667  0.333  0.000
Nd  0.000  0.000  0.000

Rb3Nd3TiTe8 | PBE | optimized geometry

Its volume is 613.1 Å³ per cell. The space-group type is R-3m, No. 166. The total magnetization is 0.092 μB per formula unit. As for the uncorrected formation energy: -1.207 eV per atom.

a = 8.970 Å, b = 8.968 Å, c = 10.212 Å
α = 116.05°, β = 90.00°, γ = 120.01°
Each line ends with the local moment (μB).
Positions (direct):
Te  0.214  0.975  0.689  0.00
Te  0.214  0.428  0.689  0.00
Te  0.786  0.572  0.311  0.00
Te  0.239  0.025  0.311  0.00
Te  0.761  0.975  0.689  0.00
Te  0.786  0.025  0.311  0.00
Te  0.264  0.528  0.292  0.00
Te  0.736  0.472  0.708  0.00
Rb  0.000  0.000  0.000  0.00
Rb  0.000  0.500  0.000  0.00
Rb  0.500  0.500  0.000  0.00
Nd  0.500  0.500  0.500  0.00
Nd  0.000  0.500  0.500  0.00
Nd  0.500  0.000  0.500  0.00
Ti  0.000  0.000  0.500  0.11

Rb4NdTm3Te8 | PBE | optimized geometry

Its volume is 607.0 Å³ per cell. The space-group type is R-3m, No. 166. The total magnetization is 0.000 μB per formula unit. As for the uncorrected formation energy: -1.367 eV per atom.

a = 9.051 Å, b = 10.024 Å, c = 9.052 Å
α = 116.84°, β = 120.00°, γ = 90.00°
Positions (direct):
Nd  0.000  0.500  0.000
Rb  0.500  0.000  0.000
Rb  0.000  0.000  0.500
Rb  0.500  0.000  0.500
Rb  0.000  0.000  0.000
Te  0.238  0.700  0.476
Te  0.762  0.300  0.524
Te  0.724  0.700  0.962
Te  0.276  0.300  0.038
Te  0.238  0.700  0.962
Te  0.732  0.696  0.464
Te  0.268  0.304  0.536
Te  0.762  0.300  0.038
Tm  0.500  0.500  0.000
Tm  0.500  0.500  0.500
Tm  0.000  0.500  0.500

Number 1: VASP energy -4.373 eV/atom. Number 2: VASP energy -4.940 eV/atom. Number 3: VASP energy -4.011 eV/atom. Number 4: VASP energy -4.894 eV/atom. Number 5: VASP energy -4.413 eV/atom. Number 6: VASP energy -4.398 eV/atom. Number 7: VASP energy -3.948 eV/atom. Number 8: VASP energy -5.024 eV/atom. Number 9: VASP energy -4.232 eV/atom. Number 10: VASP energy -4.924 eV/atom. Number 11: VASP energy -4.736 eV/atom. Number 12: VASP energy -4.473 eV/atom. Number 13: VASP energy -3.529 eV/atom. Number 14: VASP energy -4.690 eV/atom. Number 15: VASP energy -4.621 eV/atom. Number 16: VASP energy -4.947 eV/atom. Number 17: VASP energy -4.724 eV/atom. Number 18: VASP energy -4.691 eV/atom. Number 19: VASP energy -4.556 eV/atom. Number 20: VASP energy -4.316 eV/atom.